Material: ZnRhAu2
Method: DFT, GGA-PBE
State: relaxed

Output
crystal system = monoclinic
formation enthalpy at 0 K = -3.1 kJ/mol of atoms
M_tot = 0.000 μB/atom

Cell lengths 2.880, 3.917, 5.715 Å; angles 90.00, 90.81, 90.00 degrees
Positions (direct):
1 Zn 0.000 0.000 0.000
2 Rh 0.000 0.000 0.500
3 Au 0.497 0.500 0.248
4 Au 0.503 0.500 0.752


Material: Sr4YCl
Method: DFT, GGA-PBE
State: relaxed

Output
ΔE_f (raw) = 0.235 eV/atom
crystal system = cubic
M_tot = 0.003 μB/atom

Cell lengths 7.560, 7.560, 7.560 Å; angles 60.00, 60.00, 60.00 degrees
Positions (direct):
1 Sr 0.123 0.123 0.123
2 Sr 0.123 0.123 0.630
3 Sr 0.123 0.630 0.123
4 Sr 0.630 0.123 0.123
5 Y 0.750 0.750 0.750
6 Cl 0.500 0.500 0.500


Material: RbBaZn2H
Method: DFT, GGA-PBE
State: relaxed

Output
crystal system = tetragonal
M_tot = 0.000 μB/atom
total DFT energy (no corrections) = -7.55 eV per cell

Cell lengths 6.609, 6.609, 4.909 Å; angles 90.00, 90.00, 90.00 degrees
Positions (direct):
1 Rb 0.000 0.000 0.000
2 Ba 0.500 0.500 0.500
3 Zn 0.000 0.500 0.500
4 Zn 0.500 0.000 0.500
5 H 0.500 0.500 0.000


Material: Pm3TcO6
Method: DFT, GGA-PBE
State: relaxed

Output
ΔE_f (raw) = -2.664 eV/atom
crystal system = orthorhombic
M_tot = 0.010 μB/atom

Cell lengths 7.371, 7.371, 5.703 Å; angles 90.00, 90.00, 102.64 degrees
Positions (direct):
1 Pm 0.101 0.899 0.500
2 Pm 0.207 0.407 0.451
3 Pm 0.407 0.207 0.951
4 Pm 0.593 0.793 0.451
5 Pm 0.793 0.593 0.951
6 Pm 0.899 0.101 0.000
7 Tc 0.291 0.709 0.923
8 Tc 0.709 0.291 0.423
9 O 0.078 0.591 0.722
10 O 0.143 0.172 0.723
11 O 0.172 0.143 0.223
12 O 0.283 0.717 0.251
13 O 0.409 0.922 0.722
14 O 0.449 0.551 0.723
15 O 0.551 0.449 0.223
16 O 0.591 0.078 0.222
17 O 0.717 0.283 0.751
18 O 0.828 0.857 0.723
19 O 0.857 0.828 0.223
20 O 0.922 0.409 0.222


Material: ZrTc4Ag
Method: DFT, GGA-PBE
State: relaxed

Output
crystal system = cubic
formation enthalpy at 0 K = 8.4 kJ/mol of atoms
M_tot = 0.000 μB/atom

Cell lengths 5.220, 5.220, 5.220 Å; angles 60.00, 60.00, 60.00 degrees
Positions (direct):
1 Zr 0.000 0.000 0.000
2 Tc 0.376 0.376 0.376
3 Tc 0.376 0.376 0.872
4 Tc 0.376 0.872 0.376
5 Tc 0.872 0.376 0.376
6 Ag 0.750 0.750 0.750


Material: Ca2AcPb
Method: DFT, GGA-PBE
State: relaxed

Output
crystal system = trigonal
formation enthalpy at 0 K = -16.7 kJ/mol of atoms
M_tot = 0.190 μB/atom

Cell lengths 6.876, 6.876, 6.876 Å; angles 46.29, 46.29, 46.29 degrees
Positions (direct):
1 Ca 0.000 0.000 0.000
2 Ca 0.235 0.235 0.235
3 Ac 0.451 0.451 0.451
4 Pb 0.654 0.654 0.654


Material: Sm12HoEr6
Method: DFT, GGA-PBE
State: relaxed

Output
crystal system = trigonal
formation enthalpy at 0 K = 13.7 kJ/mol of atoms
M_tot = 0.000 μB/atom

Cell lengths 8.590, 8.590, 8.590 Å; angles 88.81, 88.81, 88.81 degrees
Positions (direct):
1 Sm 0.016 0.196 0.362
2 Sm 0.196 0.362 0.016
3 Sm 0.220 0.462 0.566
4 Sm 0.362 0.016 0.196
5 Sm 0.434 0.780 0.538
6 Sm 0.462 0.566 0.220
7 Sm 0.538 0.434 0.780
8 Sm 0.566 0.220 0.462
9 Sm 0.638 0.984 0.804
10 Sm 0.780 0.538 0.434
11 Sm 0.804 0.638 0.984
12 Sm 0.984 0.804 0.638
13 Ho 0.000 0.000 0.000
14 Er 0.098 0.701 0.259
15 Er 0.259 0.098 0.701
16 Er 0.299 0.741 0.902
17 Er 0.701 0.259 0.098
18 Er 0.741 0.902 0.299
19 Er 0.902 0.299 0.741


Material: PaMnNi
Method: DFT, GGA-PBE
State: relaxed

Output
crystal system = hexagonal
formation enthalpy at 0 K = 2.8 kJ/mol of atoms
M_tot = 0.493 μB/atom

Cell lengths 7.398, 7.398, 3.027 Å; angles 90.00, 90.00, 120.00 degrees
Positions (direct):
1 Pa 0.000 0.295 0.000
2 Pa 0.295 0.000 0.000
3 Pa 0.705 0.705 0.000
4 Mn 0.000 0.000 0.500
5 Mn 0.333 0.667 0.000
6 Mn 0.667 0.333 0.000
7 Ni 0.000 0.625 0.500
8 Ni 0.375 0.375 0.500
9 Ni 0.625 0.000 0.500